(1)
Be2ZnB | PBE-GGA | optimized geometry

abc: 3.771 3.771 12.811
angles: 90.00 90.00 90.00
Sites, in units of the cell vectors:
Be 0.019 0.250 0.125
Be 0.250 0.519 0.375
Be 0.250 0.981 0.875
Be 0.481 0.250 0.625
Be 0.519 0.750 0.625
Be 0.750 0.019 0.875
Be 0.750 0.481 0.375
Be 0.981 0.750 0.125
Zn 0.000 0.000 0.500
Zn 0.000 0.500 0.750
Zn 0.500 0.000 0.250
Zn 0.500 0.500 0.000
B 0.000 0.000 0.000
B 0.000 0.500 0.250
B 0.500 0.000 0.750
B 0.500 0.500 0.500

Values from the calculation:
* total energy: -3.30 eV/atom
* space-group type: I-42d
* E_form: 0.5555 eV/atom
* energy above the lowest structure with this stoichiometry: 0.0 meV per atom



(2)
BeZn2B2 | PBE-GGA | optimized geometry

abc: 3.460 3.460 9.019
angles: 90.00 90.00 90.00
Sites, in units of the cell vectors:
Be 0.000 0.000 0.000
Be 0.500 0.500 0.500
Zn 0.000 0.500 0.250
Zn 0.000 0.500 0.750
Zn 0.500 0.000 0.250
Zn 0.500 0.000 0.750
B 0.000 0.000 0.411
B 0.000 0.000 0.589
B 0.500 0.500 0.089
B 0.500 0.500 0.911

Values from the calculation:
* total energy: -3.31 eV/atom
* space-group type: I4/mmm
* E_form: 0.6149 eV/atom
* energy above the lowest structure with this stoichiometry: 100.0 meV per atom



(3)
BeZnB3 | PBE-GGA | optimized geometry

abc: 3.690 3.690 3.690
angles: 90.00 90.00 90.00
Sites, in units of the cell vectors:
Be 0.000 0.000 0.000
Zn 0.500 0.500 0.500
B 0.000 0.000 0.500
B 0.000 0.500 0.000
B 0.500 0.000 0.000

Values from the calculation:
* total energy: -3.48 eV/atom
* space-group type: Pm-3m
* E_form: 1.5287 eV/atom
* energy above the lowest structure with this stoichiometry: 0.0 meV per atom



(4)
BeZnB2 | PBE-GGA | optimized geometry

abc: 5.278 5.278 5.278
angles: 90.00 90.00 90.00
Sites, in units of the cell vectors:
Be 0.000 0.000 0.000
Be 0.000 0.500 0.500
Be 0.500 0.000 0.500
Be 0.500 0.500 0.000
Zn 0.000 0.000 0.500
Zn 0.000 0.500 0.000
Zn 0.500 0.000 0.000
Zn 0.500 0.500 0.500
B 0.250 0.250 0.250
B 0.250 0.250 0.750
B 0.250 0.750 0.250
B 0.250 0.750 0.750
B 0.750 0.250 0.250
B 0.750 0.250 0.750
B 0.750 0.750 0.250
B 0.750 0.750 0.750

Values from the calculation:
* total energy: -3.45 eV/atom
* space-group type: Fm-3m
* E_form: 1.1382 eV/atom
* energy above the lowest structure with this stoichiometry: 660.6 meV per atom



(5)
Be2ZnB2 | PBE-GGA | optimized geometry

abc: 5.356 5.356 3.082
angles: 90.00 90.00 90.00
Sites, in units of the cell vectors:
Be 0.154 0.346 0.000
Be 0.346 0.846 0.000
Be 0.654 0.154 0.000
Be 0.846 0.654 0.000
Zn 0.000 0.000 0.500
Zn 0.500 0.500 0.500
B 0.109 0.609 0.500
B 0.391 0.109 0.500
B 0.609 0.891 0.500
B 0.891 0.391 0.500

Values from the calculation:
* total energy: -4.00 eV/atom
* space-group type: P4/mbm
* E_form: 0.4168 eV/atom
* energy above the lowest structure with this stoichiometry: 10.1 meV per atom



(6)
Be2ZnB2 | PBE-GGA | optimized geometry

abc: 2.657 2.657 13.174
angles: 90.00 90.00 90.00
Sites, in units of the cell vectors:
Be 0.000 0.000 0.139
Be 0.000 0.000 0.861
Be 0.500 0.500 0.361
Be 0.500 0.500 0.639
Zn 0.000 0.000 0.500
Zn 0.500 0.500 0.000
B 0.000 0.500 0.250
B 0.000 0.500 0.750
B 0.500 0.000 0.250
B 0.500 0.000 0.750

Values from the calculation:
* total energy: -4.01 eV/atom
* space-group type: I4/mmm
* E_form: 0.4068 eV/atom
* energy above the lowest structure with this stoichiometry: 0.0 meV per atom



(7)
BeZnB3 | PBE-GGA | optimized geometry

abc: 3.982 3.982 3.982
angles: 90.00 90.00 90.00
Sites, in units of the cell vectors:
Be 0.000 0.000 0.000
Zn 0.500 0.500 0.500
B 0.000 0.500 0.500
B 0.500 0.000 0.500
B 0.500 0.500 0.000

Values from the calculation:
* total energy: -2.83 eV/atom
* space-group type: Pm-3m
* E_form: 2.1806 eV/atom
* energy above the lowest structure with this stoichiometry: 651.9 meV per atom



(8)
Be2ZnB | PBE-GGA | optimized geometry

abc: 5.292 5.292 5.292
angles: 90.00 90.00 90.00
Sites, in units of the cell vectors:
Be 0.250 0.250 0.250
Be 0.250 0.250 0.750
Be 0.250 0.750 0.250
Be 0.250 0.750 0.750
Be 0.750 0.250 0.250
Be 0.750 0.250 0.750
Be 0.750 0.750 0.250
Be 0.750 0.750 0.750
Zn 0.000 0.000 0.000
Zn 0.000 0.500 0.500
Zn 0.500 0.000 0.500
Zn 0.500 0.500 0.000
B 0.000 0.000 0.500
B 0.000 0.500 0.000
B 0.500 0.000 0.000
B 0.500 0.500 0.500

Values from the calculation:
* total energy: -3.19 eV/atom
* space-group type: Fm-3m
* E_form: 0.6654 eV/atom
* energy above the lowest structure with this stoichiometry: 109.9 meV per atom



(9)
BeZnB2 | PBE-GGA | optimized geometry

abc: 3.441 3.441 13.074
angles: 90.00 90.00 90.00
Sites, in units of the cell vectors:
Be 0.000 0.000 0.000
Be 0.000 0.500 0.250
Be 0.500 0.000 0.750
Be 0.500 0.500 0.500
Zn 0.000 0.000 0.500
Zn 0.000 0.500 0.750
Zn 0.500 0.000 0.250
Zn 0.500 0.500 0.000
B 0.042 0.250 0.125
B 0.250 0.542 0.375
B 0.250 0.958 0.875
B 0.458 0.250 0.625
B 0.542 0.750 0.625
B 0.750 0.042 0.875
B 0.750 0.458 0.375
B 0.958 0.750 0.125

Values from the calculation:
* total energy: -4.11 eV/atom
* space-group type: I-42d
* E_form: 0.4776 eV/atom
* energy above the lowest structure with this stoichiometry: 0.0 meV per atom



(10)
BeZnB | PBE-GGA | optimized geometry

abc: 6.066 2.461 9.115
angles: 90.00 105.59 90.00
Sites, in units of the cell vectors:
Be 0.000 0.000 0.000
Be 0.137 0.000 0.238
Be 0.500 0.500 0.000
Be 0.637 0.500 0.238
Zn 0.008 0.000 0.528
Zn 0.448 0.000 0.767
Zn 0.508 0.500 0.528
Zn 0.948 0.500 0.767
B 0.384 0.000 0.137
B 0.460 0.000 0.328
B 0.884 0.500 0.137
B 0.960 0.500 0.328

Values from the calculation:
* total energy: -3.58 eV/atom
* space-group type: Cm
* E_form: 0.3101 eV/atom



(11)
BeZn2B2 | PBE-GGA | optimized geometry

abc: 5.388 5.388 3.497
angles: 90.00 90.00 90.00
Sites, in units of the cell vectors:
Be 0.000 0.000 0.000
Be 0.500 0.500 0.000
Zn 0.202 0.298 0.500
Zn 0.298 0.798 0.500
Zn 0.702 0.202 0.500
Zn 0.798 0.702 0.500
B 0.111 0.611 0.000
B 0.389 0.111 0.000
B 0.611 0.889 0.000
B 0.889 0.389 0.000

Values from the calculation:
* total energy: -3.41 eV/atom
* space-group type: P4/mbm
* E_form: 0.5149 eV/atom
* energy above the lowest structure with this stoichiometry: 0.0 meV per atom



(12)
Be2ZnB2 | PBE-GGA | optimized geometry

abc: 6.309 6.309 2.182
angles: 90.00 90.00 90.00
Sites, in units of the cell vectors:
Be 0.127 0.373 0.000
Be 0.373 0.873 0.000
Be 0.627 0.127 0.000
Be 0.873 0.627 0.000
Zn 0.000 0.000 0.000
Zn 0.500 0.500 0.000
B 0.168 0.668 0.500
B 0.332 0.168 0.500
B 0.668 0.832 0.500
B 0.832 0.332 0.500

Values from the calculation:
* total energy: -3.74 eV/atom
* space-group type: P4/mbm
* E_form: 0.6768 eV/atom
* energy above the lowest structure with this stoichiometry: 270.1 meV per atom



total energy of number 7 (BeZnB3)? -2.83 eV/atom



Among the records above, which one has the lowest total energy? number 9



Please write out number 5 again, unchanged.
Be2ZnB2 | PBE-GGA | optimized geometry

abc: 5.356 5.356 3.082
angles: 90.00 90.00 90.00
Sites, in units of the cell vectors:
Be 0.154 0.346 0.000
Be 0.346 0.846 0.000
Be 0.654 0.154 0.000
Be 0.846 0.654 0.000
Zn 0.000 0.000 0.500
Zn 0.500 0.500 0.500
B 0.109 0.609 0.500
B 0.391 0.109 0.500
B 0.609 0.891 0.500
B 0.891 0.391 0.500

Values from the calculation:
* total energy: -4.00 eV/atom
* space-group type: P4/mbm
* E_form: 0.4168 eV/atom
* energy above the lowest structure with this stoichiometry: 10.1 meV per atom